Record 1
A plane-wave DFT calculation with GGA-PBEsol was carried out for an optimized crystal structure of CsPr3CI6.

Results
The calculated density is 5.217 Mg/m³. The uncorrected formation energy comes out at -1328 meV/atom.

Geometry as CIF:
```
data_CsPr3CI6
_chemical_formula_sum 'Cs2 Pr6 C2 I12'
_cell_length_a 9.4330
_cell_length_b 9.4787
_cell_length_c 10.0545
_cell_angle_alpha 70.97
_cell_angle_beta 84.77
_cell_angle_gamma 89.56
_symmetry_space_group_name_H-M 'P -1'
_symmetry_Int_Tables_number 2
_symmetry_space_group_name_Hall '-P 1'
loop_
_atom_site_label
_atom_site_type_symbol
_atom_site_fract_x
_atom_site_fract_y
_atom_site_fract_z
_atom_site_occupancy
Cs1 Cs 0.0335 0.1337 0.1733 1
Pr1 Pr 0.2442 0.5829 0.5024 1
Pr2 Pr 0.4173 0.2450 0.5058 1
Pr3 Pr 0.4745 0.3914 0.8193 1
C1 C 0.4942 0.4753 0.5737 1
I1 I 0.0896 0.2918 0.4971 1
I2 I 0.1589 0.5010 0.8339 1
I3 I 0.2124 0.7268 0.1730 1
I4 I 0.2887 0.9118 0.5024 1
I5 I 0.3455 0.0820 0.8345 1
I6 I 0.4205 0.2919 0.1745 1
```


Record 2
A plane-wave DFT calculation with GGA-PBEsol was carried out for an optimized crystal structure of CsNb2HgF.

Results
The calculated density is 8.374 Mg/m³. The uncorrected formation energy comes out at 505 meV/atom.

Geometry as CIF:
```
data_CsNb2HgF
_chemical_formula_sum 'Cs1 Nb2 Hg1 F1'
_cell_length_a 4.4450
_cell_length_b 4.4450
_cell_length_c 5.4024
_cell_angle_alpha 90.00
_cell_angle_beta 90.00
_cell_angle_gamma 90.00
_symmetry_space_group_name_H-M 'P 4/m m m'
_symmetry_Int_Tables_number 123
_symmetry_space_group_name_Hall '-P 4 2'
loop_
_atom_site_label
_atom_site_type_symbol
_atom_site_fract_x
_atom_site_fract_y
_atom_site_fract_z
_atom_site_occupancy
Cs1 Cs 0.0000 0.0000 0.0000 1
Nb1 Nb 0.0000 0.5000 0.5000 1
Hg1 Hg 0.5000 0.5000 0.0000 1
F1 F 0.0000 0.0000 0.5000 1
```


Record 3
A plane-wave DFT calculation with GGA-PBEsol was carried out for an optimized crystal structure of Zn2In.

Results
The calculated density is 7.514 Mg/m³. The value obtained for the formation energy is 0.105 eV/atom.

Geometry as CIF:
```
data_Zn2In
_chemical_formula_sum 'Zn4 In2'
_cell_length_a 3.4959
_cell_length_b 3.9792
_cell_length_c 7.8046
_cell_angle_alpha 90.00
_cell_angle_beta 90.00
_cell_angle_gamma 90.00
_symmetry_space_group_name_H-M 'I m m m'
_symmetry_Int_Tables_number 71
_symmetry_space_group_name_Hall '-I 2 2'
loop_
_atom_site_label
_atom_site_type_symbol
_atom_site_fract_x
_atom_site_fract_y
_atom_site_fract_z
_atom_site_occupancy
Zn1 Zn 0.0000 0.0000 0.1622 1
In1 In 0.0000 0.0000 0.5000 1
```


Record 4
A plane-wave DFT calculation with GGA-PBEsol was carried out for an optimized crystal structure of BaTl2Ag2.

Results
The calculated density is 9.219 Mg/m³. The value obtained for the formation energy is -0.184 eV/atom.

Geometry as CIF:
```
data_BaTl2Ag2
_chemical_formula_sum 'Ba2 Tl4 Ag4'
_cell_length_a 5.1394
_cell_length_b 5.1394
_cell_length_c 10.3906
_cell_angle_alpha 90.00
_cell_angle_beta 90.00
_cell_angle_gamma 90.00
_symmetry_space_group_name_H-M 'I 4/m m m'
_symmetry_Int_Tables_number 139
_symmetry_space_group_name_Hall '-I 4 2'
loop_
_atom_site_label
_atom_site_type_symbol
_atom_site_fract_x
_atom_site_fract_y
_atom_site_fract_z
_atom_site_occupancy
Ba1 Ba 0.0000 0.0000 0.0000 1
Tl1 Tl 0.0000 0.0000 0.3601 1
Ag1 Ag 0.0000 0.5000 0.2500 1
```


no.,final energy (hartree per atom)
1,-0.172
2,-0.166
3,-0.071
4,-0.110